# Y2ZnHg4

A geometry-optimized Y2ZnHg4 structure (PBE, Alexandria via LeMat-Bulk).

Values from the calculation:
E_form, eV/f.u.: -2.37

Lattice parameters (Å, degrees): 4.813 4.813 9.990 60.97 60.97 59.91
Fractional coordinates of all 7 atoms:
Hg 0.403 0.403 0.895
Hg 0.652 0.652 0.522
Y 0.855 0.855 0.717
Y 0.145 0.145 0.283
Zn 0.000 0.000 0.000
Hg 0.348 0.348 0.478
Hg 0.597 0.597 0.105